# 1
{
  "formula": "HfReMo3",
  "functional": "GGA-PBE",
  "state": "optimized geometry",
  "dft_energy_ev_per_atom": -8.5746,
  "de_polymorph_mev_per_atom": 1085.2,
  "formation_enthalpy_0k_ev_per_atom": 2.40,
  "density_g_cm3": 10.68,
  "volume_a3_per_fu": 101.5,
  "lattice_angstrom": [[-2.283, -1.682, -3.703], [-3.126, -1.990, 2.831], [-2.602, 3.868, -0.154]],
  "species": ["Re", "Mo", "Mo", "Mo", "Hf"],
  "frac_coords": [[0.500, 0.500, 0.500], [0.000, 0.500, 0.000], [0.000, 0.000, 0.500], [0.500, 0.000, 0.000], [0.000, 0.000, 0.000]]
}


# 2
{
  "formula": "HfReMoRu",
  "functional": "GGA-PBE",
  "state": "optimized geometry",
  "dft_energy_ev_per_atom": -10.8198,
  "formation_enthalpy_0k_ev_per_atom": -0.19,
  "density_g_cm3": 14.38,
  "volume_a3_per_fu": 64.9,
  "lattice_angstrom": [[4.510, 0.000, 0.000], [2.255, 3.905, 0.000], [2.255, 1.302, 3.682]],
  "species": ["Re", "Mo", "Hf", "Ru"],
  "frac_coords": [[0.750, 0.750, 0.750], [0.000, 0.000, 0.000], [0.500, 0.500, 0.500], [0.250, 0.250, 0.250]]
}


# 3
{
  "formula": "Hf2ReSbMo",
  "functional": "GGA-PBE",
  "state": "optimized geometry",
  "dft_energy_ev_per_atom": -8.7566,
  "density_g_cm3": 10.46,
  "formation_energy_uncorrected_mev_per_atom": 705,
  "volume_a3_per_fu": 120.8,
  "lattice_angstrom": [[-3.472, 3.080, 2.022], [-3.330, -2.002, -2.670], [-0.886, -3.395, 3.650]],
  "species": ["Re", "Mo", "Hf", "Hf", "Sb"],
  "frac_coords": [[0.000, 0.000, 0.000], [0.000, 0.500, 0.000], [0.000, 0.000, 0.500], [0.500, 0.000, 0.000], [0.500, 0.500, 0.500]]
}


# 4
{
  "formula": "HfReSn2Mo",
  "functional": "GGA-PBE",
  "state": "optimized geometry",
  "dft_energy_ev_per_atom": -6.4290,
  "formation_enthalpy_0k_ev_per_atom": 1.82,
  "density_g_cm3": 8.38,
  "volume_a3_per_fu": 138.3,
  "lattice_angstrom": [[-0.329, -0.828, 5.294], [3.786, -2.939, -0.225], [3.281, 4.162, 0.855]],
  "species": ["Re", "Mo", "Hf", "Sn", "Sn"],
  "frac_coords": [[0.000, 0.500, 0.000], [0.500, 0.500, 0.500], [0.000, 0.000, 0.000], [0.000, 0.000, 0.500], [0.500, 0.000, 0.000]]
}


# 5
{
  "formula": "HfZrReMo",
  "functional": "GGA-PBE",
  "state": "optimized geometry",
  "dft_energy_ev_per_atom": -10.5543,
  "formation_enthalpy_0k_ev_per_atom": -0.11,
  "density_g_cm3": 12.63,
  "volume_a3_per_fu": 72.6,
  "lattice_angstrom": [[-2.765, -3.627, 1.058], [0.820, -4.200, -1.898], [1.633, -3.491, 2.658]],
  "species": ["Re", "Mo", "Hf", "Zr"],
  "frac_coords": [[0.500, 0.500, 0.500], [0.000, 0.000, 0.000], [0.750, 0.750, 0.750], [0.250, 0.250, 0.250]]
}


# 6
{
  "formula": "Hf3MoRh2",
  "functional": "GGA-PBE",
  "state": "optimized geometry",
  "dft_energy_ev_per_atom": -9.9117,
  "formation_enthalpy_0k_ev_per_atom": -0.68,
  "density_g_cm3": 13.06,
  "volume_a3_per_fu": 106.4,
  "lattice_angstrom": [[3.303, 0.000, 0.000], [0.000, 3.303, 0.000], [0.000, 0.000, 9.755]],
  "species": ["Hf", "Hf", "Hf", "Mo", "Rh", "Rh"],
  "frac_coords": [[0.000, 0.000, 0.000], [0.000, 0.000, 0.665], [0.000, 0.000, 0.335], [0.500, 0.500, 0.500], [0.500, 0.500, 0.842], [0.500, 0.500, 0.158]]
}


# 7
{
  "formula": "HfMo3Rh",
  "functional": "GGA-PBE",
  "state": "optimized geometry",
  "dft_energy_ev_per_atom": -7.8320,
  "de_polymorph_mev_per_atom": 797.2,
  "formation_enthalpy_0k_ev_per_atom": 2.13,
  "density_g_cm3": 9.06,
  "volume_a3_per_fu": 104.3,
  "lattice_angstrom": [[-0.436, -3.110, -3.506], [0.600, -3.529, 3.056], [-4.648, -0.164, 0.723]],
  "species": ["Rh", "Mo", "Mo", "Mo", "Hf"],
  "frac_coords": [[0.500, 0.500, 0.500], [0.000, 0.500, 0.000], [0.000, 0.000, 0.500], [0.500, 0.000, 0.000], [0.000, 0.000, 0.000]]
}


# 8
{
  "formula": "Hf3MoRh",
  "functional": "GGA-PBE",
  "state": "optimized geometry",
  "dft_energy_ev_per_atom": -8.7027,
  "de_polymorph_mev_per_atom": 216.7,
  "formation_enthalpy_0k_ev_per_atom": 0.91,
  "density_g_cm3": 10.24,
  "volume_a3_per_fu": 119.0,
  "lattice_angstrom": [[-3.164, -0.436, -3.742], [-1.838, -4.086, 2.031], [-3.288, 2.704, 2.465]],
  "species": ["Rh", "Mo", "Hf", "Hf", "Hf"],
  "frac_coords": [[0.500, 0.500, 0.500], [0.000, 0.000, 0.000], [0.000, 0.500, 0.000], [0.000, 0.000, 0.500], [0.500, 0.000, 0.000]]
}